(1)
Computed, not measured: crystalline Co2CuHOs at its relaxed geometry at the PBE-GGA level of DFT.

a = 3.7021 Å, b = 3.7021 Å, c = 3.7510 Å
α = 90.00°, β = 90.00°, γ = 90.00°
Positions (direct):
Co  0.0000  0.5000  0.0000
Co  0.5000  0.0000  0.0000
Cu  0.0000  0.0000  0.5000
H  0.5000  0.5000  0.0000
Os  0.5000  0.5000  0.5000

Output
M_tot, μB per cell: 4.24
Calculated density, g/cm³: 12.04
Volume, Å³ per cell: 51.4
DOS at the Fermi energy, states/eV/atom: 0.882
Total energy, eV/atom: -6.28



(2)
Computed, not measured: crystalline Co2CuPH at its relaxed geometry at the PBE-GGA level of DFT.

a = 4.4460 Å, b = 4.4460 Å, c = 2.8599 Å
α = 90.00°, β = 90.00°, γ = 90.00°
Positions (direct):
Co  0.0000  0.5000  0.0000
Co  0.5000  0.0000  0.0000
Cu  0.0000  0.0000  0.0000
P  0.5000  0.5000  0.5000
H  0.0000  0.0000  0.5000

Output
M_tot, μB per cell: 2.22
Calculated density, g/cm³: 6.27
Volume, Å³ per cell: 56.5
DOS at the Fermi energy, states/eV/atom: 0.933
Total energy, eV/atom: -4.66



(3)
Computed, not measured: crystalline PaCo2CuH6 at its relaxed geometry at the PBE-GGA level of DFT.

a = 5.2989 Å, b = 5.2989 Å, c = 5.2989 Å
α = 48.55°, β = 48.55°, γ = 48.55°
Positions (direct):
Pa  0.0000  0.0000  0.0000
Co  0.2079  0.2079  0.2079
Co  0.7921  0.7921  0.7921
Cu  0.5000  0.5000  0.5000
H  0.0789  0.5596  0.5596
H  0.4404  0.4404  0.9211
H  0.4404  0.9211  0.4404
H  0.5596  0.0789  0.5596
H  0.5596  0.5596  0.0789
H  0.9211  0.4404  0.4404

Output
M_tot, μB per cell: 0.00
Calculated density, g/cm³: 9.06
Volume, Å³ per cell: 76.7
DOS at the Fermi energy, states/eV/atom: 0.323
Total energy, eV/atom: -4.95



(4)
Computed, not measured: crystalline PaCo2CuH8 at its relaxed geometry at the PBE-GGA level of DFT.

a = 4.4923 Å, b = 4.4923 Å, c = 6.0539 Å
α = 90.00°, β = 90.00°, γ = 120.00°
Positions (direct):
Pa  0.0000  0.0000  0.0000
Co  0.3333  0.6667  0.1385
Co  0.6667  0.3333  0.8615
Cu  0.0000  0.0000  0.5000
H  0.1696  0.3392  0.3142
H  0.1696  0.8304  0.3142
H  0.3333  0.6667  0.8809
H  0.3392  0.1696  0.6858
H  0.6608  0.8304  0.3142
H  0.6667  0.3333  0.1191
H  0.8304  0.1696  0.6858
H  0.8304  0.6608  0.6858

Output
M_tot, μB per cell: 0.68
Calculated density, g/cm³: 6.60
Volume, Å³ per cell: 105.8
DOS at the Fermi energy, states/eV/atom: 0.392
Total energy, eV/atom: -4.53



(5)
Computed, not measured: crystalline PaCoCuH6 at its relaxed geometry at the PBE-GGA level of DFT.

a = 4.3302 Å, b = 4.3302 Å, c = 4.1747 Å
α = 90.00°, β = 90.00°, γ = 120.00°
Positions (direct):
Pa  0.0000  0.0000  0.0000
Co  0.6667  0.3333  0.5000
Cu  0.3333  0.6667  0.5000
H  0.5084  0.0167  0.2256
H  0.5084  0.0167  0.7744
H  0.5084  0.4916  0.2256
H  0.5084  0.4916  0.7744
H  0.9833  0.4916  0.2256
H  0.9833  0.4916  0.7744

Output
M_tot, μB per cell: 0.00
Calculated density, g/cm³: 8.81
Volume, Å³ per cell: 67.8
DOS at the Fermi energy, states/eV/atom: 0.596
Total energy, eV/atom: -4.73



(6)
Computed, not measured: crystalline CoCuH6Pb at its relaxed geometry at the PBE-GGA level of DFT.

a = 4.5810 Å, b = 4.5810 Å, c = 4.6588 Å
α = 90.00°, β = 90.00°, γ = 120.00°
Positions (direct):
Co  0.0000  0.0000  0.0000
Cu  0.6667  0.3333  0.0000
H  0.3051  0.0643  0.2002
H  0.3051  0.2408  0.7998
H  0.7592  0.0643  0.7998
H  0.7592  0.6949  0.2002
H  0.9357  0.2408  0.2002
H  0.9357  0.6949  0.7998
Pb  0.3333  0.6667  0.5000

Output
M_tot, μB per cell: 0.00
Calculated density, g/cm³: 6.59
Volume, Å³ per cell: 84.6
DOS at the Fermi energy, states/eV/atom: 0.141
Total energy, eV/atom: -3.77



(7)
Computed, not measured: crystalline CoCuHPd2 at its relaxed geometry at the PBE-GGA level of DFT.

a = 3.9919 Å, b = 3.9919 Å, c = 3.5984 Å
α = 90.00°, β = 90.00°, γ = 90.00°
Positions (direct):
Co  0.0000  0.0000  0.0000
Cu  0.5000  0.5000  0.0000
H  0.0000  0.0000  0.5000
Pd  0.0000  0.5000  0.5000
Pd  0.5000  0.0000  0.5000

Output
M_tot, μB per cell: 2.21
Calculated density, g/cm³: 9.74
Volume, Å³ per cell: 57.3
E above lowest polymorph, meV/atom: 0.0
DOS at the Fermi energy, states/eV/atom: 0.850
Total energy, eV/atom: -4.95



(8)
Computed, not measured: crystalline CoCuHPd2 at its relaxed geometry at the PBE-GGA level of DFT.

a = 3.9821 Å, b = 3.9821 Å, c = 3.6470 Å
α = 90.00°, β = 90.00°, γ = 90.00°
Positions (direct):
Co  0.0000  0.0000  0.0000
Cu  0.5000  0.5000  0.0000
H  0.5000  0.5000  0.5000
Pd  0.0000  0.5000  0.5000
Pd  0.5000  0.0000  0.5000

Output
M_tot, μB per cell: 2.46
Calculated density, g/cm³: 9.66
Volume, Å³ per cell: 57.8
E above lowest polymorph, meV/atom: 51.8
DOS at the Fermi energy, states/eV/atom: 1.187
Total energy, eV/atom: -4.90



Question: Look up the M_tot of the sixth one.
Answer: 0.00 μB per cell



Question: Which value of volume does entry 4 give?
Answer: 105.8 Å³ per cell